Entry 1:
The following is a DFT calculation (GGA-PBE) of PuGa3Pt2 after structural relaxation.

Cell: 5.9335 5.9335 21.7414 Å, 90.00 90.00 120.00°
Space group R-3m (No. 166, hexagonal axes)
Unique sites:
Pu 0.0000 0.0000 0.2072 x6
Ga 0.0077 0.5038 0.2405 x18
Pt 0.0000 0.0000 0.0000 x3
Pt 0.0000 0.5000 0.0000 x9

## Properties
DFT formation energy = -0.45 eV per atom

=====

Entry 2:
The following is a DFT calculation (GGA-PBE) of SrCoSeBr2 after structural relaxation.

Cell: 5.789 5.789 6.046 Å, 90.00 90.00 90.00°
Space group P4/mmm (No. 123)
Unique sites:
Sr 0.000 0.000 0.000 x1
Co 0.500 0.500 0.500 x1
Se 0.000 0.000 0.500 x1
Br 0.000 0.500 0.000 x2

## Properties
energy relative to the lowest polymorph listed for this composition = 4.47 eV/f.u.

=====

Entry 3:
The following is a DFT calculation (GGA-PBE) of CuAs2Ir after structural relaxation.

Cell: 4.320 4.320 3.324 Å, 90.00 90.00 90.00°
Space group P4/mmm (No. 123)
Unique sites:
Cu 0.000 0.000 0.000 x1
As 0.000 0.500 0.500 x2
Ir 0.500 0.500 0.000 x1

## Properties
DFT formation energy = 0.22 eV per atom
energy relative to the lowest polymorph listed for this composition = 0.69 eV/f.u.

=====

Entry 4:
The following is a DFT calculation (GGA-PBE) of CaHI2O after structural relaxation.

Cell: 5.451 5.451 3.531 Å, 90.00 90.00 90.00°
Space group P4/mmm (No. 123)
Unique sites:
Ca 0.000 0.000 0.000 x1
H 0.500 0.500 0.500 x1
I 0.000 0.500 0.500 x2
O 0.500 0.500 0.000 x1

## Properties
energy relative to the lowest polymorph listed for this composition = 0.20 eV/f.u.

=====

Entry 5:
The following is a DFT calculation (GGA-PBE) of Na2TlAs2 after structural relaxation.

Cell: 7.812 7.812 4.245 Å, 90.00 90.00 90.00°
Space group P4/mbm (No. 127)
Unique sites:
Na 0.179 0.321 0.000 x4
Tl 0.000 0.000 0.500 x2
As 0.109 0.609 0.500 x4

## Properties
DFT formation energy = -0.25 eV per atom
energy relative to the lowest polymorph listed for this composition = 0.00 eV/f.u.

=====

Entry 6:
The following is a DFT calculation (GGA-PBE) of GePb5 after structural relaxation.

Cell: 5.281 15.016 4.515 Å, 90.00 90.00 90.00°
Space group Cmmm (No. 65)
Unique sites:
Ge 0.000 0.000 0.000 x2
Pb 0.000 0.153 0.500 x4
Pb 0.000 0.332 0.000 x4
Pb 0.000 0.500 0.500 x2

## Properties
DFT formation energy = 0.10 eV per atom

=====

Entry 7:
The following is a DFT calculation (GGA-PBE) of PaVRe2 after structural relaxation.

Cell: 4.641 4.641 3.241 Å, 90.00 90.00 90.00°
Space group P4/mmm (No. 123)
Unique sites:
Pa 0.000 0.000 0.000 x1
V 0.500 0.500 0.000 x1
Re 0.000 0.500 0.500 x2

## Properties
DFT formation energy = 0.05 eV per atom
energy relative to the lowest polymorph listed for this composition = 0.30 eV/f.u.

=====

Entry 8:
The following is a DFT calculation (GGA-PBE) of TlReSe2 after structural relaxation.

Cell: 3.991 4.201 13.738 Å, 90.00 90.00 90.00°
Space group Amm2 (No. 38)
Unique sites:
Tl 0.000 0.000 0.000 x2
Re 0.500 0.000 0.207 x2
Se 0.000 0.000 0.301 x2
Se 0.500 0.000 0.620 x2

## Properties
energy relative to the lowest polymorph listed for this composition = 0.53 eV/f.u.

=====

The records above give, respectively, M_tot values of 5.6; 3.0; 0.0; 0.0; 0.0; 0.0; 0.0; 0.0 μB per formula unit.